DFT (PBEsol) results for a relaxed structure of AlCrTc.

Calculated values
Volume = 39.7 Å³/cell
Total moment = 0.0 μB per formula unit
Energy above the most stable polymorph in this dataset = 280 meV per atom
SG = Fmm2 (42)
Calculated formation energy = 0.00 eV per atom

Cell lengths 6.603, 6.403, 2.624 Å; angles 82.67, 74.12, 23.21 degrees
Fractional positions:
Al (0.000, 0.000, 0.000)
Cr (0.334, 0.334, 0.666)
Tc (0.675, 0.675, 0.325)


DFT (PBEsol) results for a relaxed structure of FePt2Rh.

Calculated values
Volume = 55.2 Å³/cell
Total moment = 3.1 μB per formula unit
SG = Pmmm (47)
Calculated formation energy = -0.10 eV per atom

Cell lengths 2.690, 3.798, 5.408 Å; angles 90.00, 90.00, 90.00 degrees
Fractional positions:
Fe (0.000, 0.000, 0.000)
Pt (0.500, 0.500, 0.246)
Pt (0.500, 0.500, 0.754)
Rh (0.000, 0.000, 0.500)


DFT (PBEsol) results for a relaxed structure of Li3Ni5.

Calculated values
Volume = 83.9 Å³/cell
Total moment = 0.0 μB per formula unit
SG = Cmmm (65)
Calculated formation energy = 0.02 eV per atom

Cell lengths 4.802, 4.802, 4.047 Å; angles 90.00, 90.00, 116.01 degrees
Fractional positions:
Li (0.000, 0.000, 0.000)
Li (0.247, 0.247, 0.500)
Li (0.753, 0.753, 0.500)
Ni (0.000, 0.500, 0.000)
Ni (0.260, 0.740, 0.500)
Ni (0.500, 0.000, 0.000)
Ni (0.500, 0.500, 0.000)
Ni (0.740, 0.260, 0.500)